## a
Material: Cr2CuRe
Method: DFT, PBE
State: optimized geometry

DOS(E_F) in states/eV per cell: 2.159
Volume in Å³/atom: 12.7
Density in g/cm3: 11.6
Space group: Pm (6)

a b c (Å): 2.522 4.125 4.982
angles (deg): 90.00 101.52 90.00
Element x y z (fractional)
Cr 0.000 0.000 0.000
Cr 0.219 0.500 0.772
Cu 0.822 0.500 0.253
Re 0.480 0.000 0.507

---

## b
Material: Cr2CuRe
Method: DFT, PBE
State: optimized geometry

DOS(E_F) in states/eV per cell: 2.690
Volume in Å³/atom: 12.7
Density in g/cm3: 11.6
Space group: Imm2 (44)

a b c (Å): 4.841 4.841 4.841
angles (deg): 144.04 129.58 63.48
Element x y z (fractional)
Cr 0.000 0.000 0.000
Cr 0.778 0.278 0.500
Cu 0.261 0.761 0.500
Re 0.533 0.533 0.000

---

## c
Material: Cr2CuRe
Method: DFT, PBE
State: optimized geometry

DOS(E_F) in states/eV per cell: 6.286
Volume in Å³/atom: 12.9
Density in g/cm3: 11.4
Space group: P4/mmm (123)

a b c (Å): 2.648 2.648 7.381
angles (deg): 90.00 90.00 90.00
Element x y z (fractional)
Cr 0.000 0.000 0.245
Cr 0.000 0.000 0.755
Cu 0.500 0.500 0.000
Re 0.500 0.500 0.500

---

## d
Material: Cr2CuRe
Method: DFT, PBE
State: optimized geometry

DOS(E_F) in states/eV per cell: 4.743
Volume in Å³/atom: 12.8
Density in g/cm3: 11.5
Space group: Pmmm (47)

a b c (Å): 2.655 3.714 5.193
angles (deg): 90.00 90.00 90.00
Element x y z (fractional)
Cr 0.000 0.000 0.250
Cr 0.000 0.000 0.750
Cu 0.500 0.500 0.000
Re 0.500 0.500 0.500

---

Least stable of them? c.

---

## a
Material: Cr2CuRe
Method: DFT, PBE
State: optimized geometry

DOS(E_F) in states/eV per cell: 3.559
Volume in Å³/atom: 12.7
Density in g/cm3: 11.5
Space group: C2/m (12)

a b c (Å): 4.761 4.761 4.069
angles (deg): 114.83 114.83 38.03
Element x y z (fractional)
Cr 0.240 0.240 0.243
Cr 0.760 0.760 0.757
Cu 0.000 0.000 0.500
Re 0.500 0.500 0.000

---

## b
Material: Cr2CuRe
Method: DFT, PBE
State: optimized geometry

DOS(E_F) in states/eV per cell: 4.894
Volume in Å³/atom: 12.9
Density in g/cm3: 11.4
Space group: P4mm (99)

a b c (Å): 2.551 2.551 7.931
angles (deg): 90.00 90.00 90.00
Element x y z (fractional)
Cr 0.000 0.000 0.000
Cr 0.500 0.500 0.235
Cu 0.000 0.000 0.479
Re 0.500 0.500 0.741

---

Least stable of them? b.